# CaCeEu, relaxed, DFT GGA-PBE
# Calculated total energy: -35.277 eV per cell
# Total moment: 9.14 μB/f.u.
# Energy relative to the lowest polymorph listed for this composition: 0.014 eV/atom
# Energy relative to the elements: 190 meV per atom
# DOS(E_F): 2.689 states/eV per atom
data_CaCeEu
_chemical_formula_sum 'Ca2 Ce2 Eu2'
_space_group_name_H-M_alt 'I 4 m m'
_space_group_IT_number 107
_space_group_name_Hall 'I 4 -2'
_cell_length_a 3.713
_cell_length_b 3.713
_cell_length_c 16.576
_cell_angle_alpha 90.00
_cell_angle_beta 90.00
_cell_angle_gamma 90.00
loop_
_atom_site_label
_atom_site_type_symbol
_atom_site_fract_x
_atom_site_fract_y
_atom_site_fract_z
Ca1 Ca 0.000 0.000 0.000
Ce1 Ce 0.000 0.000 0.336
Eu1 Eu 0.000 0.000 0.679

***

# YPb2Se, relaxed, DFT GGA-PBE
# Calculated total energy: -72.824 eV per cell
# Total moment: 0.00 μB/f.u.
# Uncorrected formation energy: -0.84 eV/f.u.
# DOS(E_F): 0.979 states/eV per atom
data_YPb2Se
_chemical_formula_sum 'Y4 Pb8 Se4'
_space_group_name_H-M_alt 'I -4 2 d'
_space_group_IT_number 122
_space_group_name_Hall 'I -4 2bw'
_cell_length_a 8.817
_cell_length_b 8.817
_cell_length_c 6.110
_cell_angle_alpha 90.00
_cell_angle_beta 90.00
_cell_angle_gamma 90.00
loop_
_atom_site_label
_atom_site_type_symbol
_atom_site_fract_x
_atom_site_fract_y
_atom_site_fract_z
Y1 Y 0.000 0.000 0.000
Pb1 Pb 0.227 0.750 0.625
Se1 Se 0.000 0.000 0.500

***

# Sc2CuCl, relaxed, DFT GGA-PBE
# Calculated total energy: -79.240 eV per cell
# Total moment: 0.00 μB/f.u.
# Energy relative to the lowest polymorph listed for this composition: 0.367 eV/atom
# Uncorrected formation energy: -1.20 eV/f.u.
# DOS(E_F): 1.205 states/eV per atom
data_Sc2CuCl
_chemical_formula_sum 'Sc8 Cu4 Cl4'
_space_group_name_H-M_alt 'F m -3 m'
_space_group_IT_number 225
_space_group_name_Hall '-F 4 2 3'
_cell_length_a 6.669
_cell_length_b 6.669
_cell_length_c 6.669
_cell_angle_alpha 90.00
_cell_angle_beta 90.00
_cell_angle_gamma 90.00
loop_
_atom_site_label
_atom_site_type_symbol
_atom_site_fract_x
_atom_site_fract_y
_atom_site_fract_z
Sc1 Sc 0.250 0.250 0.250
Cu1 Cu 0.000 0.000 0.000
Cl1 Cl 0.000 0.000 0.500

***

# ZrTaSe2, relaxed, DFT GGA-PBE
# Calculated total energy: -30.343 eV per cell
# Total moment: 0.00 μB/f.u.
# Energy relative to the lowest polymorph listed for this composition: 0.000 eV/atom
# Uncorrected formation energy: -2.97 eV/f.u.
# DOS(E_F): 0.660 states/eV per atom
data_ZrTaSe2
_chemical_formula_sum 'Zr1 Ta1 Se2'
_space_group_name_H-M_alt 'P 4 m m'
_space_group_IT_number 99
_cell_length_a 3.521
_cell_length_b 3.521
_cell_length_c 6.251
_cell_angle_alpha 90.00
_cell_angle_beta 90.00
_cell_angle_gamma 90.00
loop_
_space_group_symop_operation_xyz
'x,y,z'
'-y,x,z'
'-x,-y,z'
'y,-x,z'
'-x,y,z'
'y,x,z'
'x,-y,z'
'-y,-x,z'
loop_
_atom_site_label
_atom_site_type_symbol
_atom_site_fract_x
_atom_site_fract_y
_atom_site_fract_z
Zr1 Zr 0.000 0.000 0.000
Ta1 Ta 0.500 0.500 0.695
Se1 Se 0.000 0.000 0.535
Se2 Se 0.500 0.500 0.182